Entry from the Alexandria database: a relaxed structure of NdMgZn2Pd4 (PBE-GGA).

abc: 4.4169 4.4169 8.7329
angles: 75.35 75.35 60.00
Element x y z (fractional)
1 Nd 0.0000 0.0000 0.0000
2 Mg 0.5000 0.5000 0.5000
3 Zn 0.7607 0.7607 0.7179
4 Zn 0.2393 0.2393 0.2821
5 Pd 0.3972 0.3972 0.8083
6 Pd 0.8732 0.8732 0.3805
7 Pd 0.1268 0.1268 0.6195
8 Pd 0.6028 0.6028 0.1917

The calculation puts the formation energy at -5.09 eV/f.u. As for the symmetry: No. 166.

***

Entry from the Alexandria database: a relaxed structure of NdMg2Zn2Pd (PBE-GGA).

abc: 5.0674 5.0674 6.5419
angles: 112.79 112.79 90.00
Element x y z (fractional)
1 Nd 0.5000 0.5000 0.0000
2 Mg 0.2500 0.7500 0.5000
3 Mg 0.7500 0.2500 0.5000
4 Zn 0.7775 0.7775 0.5551
5 Zn 0.2225 0.2225 0.4449
6 Pd 0.0000 0.0000 0.0000

The calculation puts the formation energy at 0.13 eV/f.u. As for the symmetry: No. 139.

***

Entry from the Alexandria database: a relaxed structure of Pm6NdMg2 (PBE-GGA).

abc: 3.4860 8.7102 10.2241
angles: 78.14 80.18 78.46
Each line ends with the local moment (μB).
Element x y z (fractional)
1 Pm 0.7715 0.3469 0.1100  0.02
2 Pm 0.2285 0.6531 0.8900  0.02
3 Pm 0.3754 0.6957 0.5535  0.01
4 Pm 0.0511 0.6487 0.2492  0.02
5 Pm 0.9489 0.3513 0.7508  0.02
6 Pm 0.6246 0.3043 0.4465  0.01
7 Nd 0.0000 0.0000 0.0000  0.13
8 Mg 0.3415 0.0153 0.3016  0.00
9 Mg 0.6585 0.9847 0.6984  0.00

The value obtained for the polymorph energy (0 for the lowest one) is 0.0 kJ per mole of atoms. The calculation puts the formation energy at 0.95 eV/f.u. As for the symmetry: No. 12.

***

Entry from the Alexandria database: a relaxed structure of Pm12Nd3Mg (PBE-GGA).

abc: 5.1313 5.1313 20.5853
angles: 90.00 90.00 90.00
Element x y z (fractional)
1 Pm 0.5000 0.5000 0.0000
2 Pm 0.5000 0.5000 0.2449
3 Pm 0.5000 0.5000 0.5000
4 Pm 0.5000 0.5000 0.7551
5 Pm 0.5000 0.0000 0.1215
6 Pm 0.5000 0.0000 0.3735
7 Pm 0.5000 0.0000 0.6265
8 Pm 0.5000 0.0000 0.8785
9 Pm 0.0000 0.5000 0.1215
10 Pm 0.0000 0.5000 0.3735
11 Pm 0.0000 0.5000 0.6265
12 Pm 0.0000 0.5000 0.8785
13 Nd 0.0000 0.0000 0.2468
14 Nd 0.0000 0.0000 0.5000
15 Nd 0.0000 0.0000 0.7532
16 Mg 0.0000 0.0000 0.0000

The calculation puts the formation energy at 0.23 eV/f.u. As for the symmetry: No. 123.

***

Please write out number 2 again, unchanged.
Entry from the Alexandria database: a relaxed structure of NdMg2Zn2Pd (PBE-GGA).

abc: 5.0674 5.0674 6.5419
angles: 112.79 112.79 90.00
Element x y z (fractional)
1 Nd 0.5000 0.5000 0.0000
2 Mg 0.2500 0.7500 0.5000
3 Mg 0.7500 0.2500 0.5000
4 Zn 0.7775 0.7775 0.5551
5 Zn 0.2225 0.2225 0.4449
6 Pd 0.0000 0.0000 0.0000

The calculation puts the formation energy at 0.13 eV/f.u. As for the symmetry: No. 139.